Here is a relaxed Hg3RuAu crystal from Alexandria via LeMat-Bulk. Energies are from PBE-GGA.

Computed properties:
Volume in Å³ per cell: 142.67
Space-group type: Pm-3m, No. 221
ΔH_f (0 K) in meV per atom: 811
Size of the total moment in μB per formula unit: 1.32

Cell: 5.2253 5.2253 5.2253 Å, 90.00 90.00 90.00°
Closest atoms and distances in Å follow each position.
Fractional positions:
1 Ru 0.0000 0.0000 0.0000  6 Hg 2.61
2 Au 0.5000 0.5000 0.5000  12 Hg 3.69
3 Hg 0.0000 0.5000 0.0000  2 Ru 2.61
4 Hg 0.0000 0.0000 0.5000  2 Ru 2.61
5 Hg 0.5000 0.0000 0.0000  2 Ru 2.61

---

Here is a relaxed HgRuAu2 crystal from Alexandria via LeMat-Bulk. Energies are from PBE-GGA.

Computed properties:
Volume in Å³ per cell: 71.47
Space-group type: I4/mmm, No. 139
ΔH_f (0 K) in meV per atom: 422
Size of the total moment in μB per formula unit: 1.23

Cell: 5.0124 5.0124 5.0124 Å, 130.34 130.34 72.87°
Closest atoms and distances in Å follow each position.
Fractional positions:
1 Au 0.0000 0.0000 0.0000  4 Ru 2.91, 4 Hg 2.91, 4 Au 2.98
2 Au 0.5000 0.5000 0.0000  4 Hg 2.91, 4 Ru 2.91, 4 Au 2.98
3 Hg 0.2500 0.7500 0.5000  8 Au 2.91, 4 Ru 2.98
4 Ru 0.7500 0.2500 0.5000  8 Au 2.91, 4 Hg 2.98